! FePAu2 (meta-GGA SCAN, PBEsol geometry); values from VASP
! **Formation energy from the elements**: 301 meV per atom
! **Space-group type**: P4/mmm (123)
! **Energy**: -41.410 eV per atom
&SYSTEM
  ibrav = 0, nat = 4, ntyp = 3
/
ATOMIC_SPECIES
Au 196.97 Au.upf
Fe 55.84 Fe.upf
P 30.97 P.upf
ATOMIC_POSITIONS crystal
Au 0.500 0.000 0.000
Au 0.000 0.500 0.000
Fe 0.500 0.500 0.500
P 0.000 0.000 0.500
CELL_PARAMETERS angstrom
3.828 0.000 0.000
0.000 3.828 0.000
0.000 0.000 4.166

=====

! BaNi2Mo (meta-GGA SCAN, PBEsol geometry); values from VASP
! **Formation energy from the elements**: 1217 meV per atom
! **Space-group type**: I-4m2 (119)
! **Energy**: -25.478 eV per atom
! **Energy above the lowest structure with this stoichiometry**: 1.04 eV per formula unit
&SYSTEM
  ibrav = 0, nat = 4, ntyp = 3
/
ATOMIC_SPECIES
Ni 58.69 Ni.upf
Mo 95.94 Mo.upf
Ba 137.33 Ba.upf
ATOMIC_POSITIONS crystal
Ni 0.750 0.250 0.500
Ni 0.000 0.000 0.000
Mo 0.250 0.750 0.500
Ba 0.500 0.500 0.000
CELL_PARAMETERS angstrom
-2.504 2.959 0.649
-0.429 -1.180 3.724
4.829 1.691 -0.982

=====

! Li4OsAu (meta-GGA SCAN, PBEsol geometry); values from VASP
! **Formation energy from the elements**: 219 meV per atom
! **Space-group type**: F-43m (216)
! **Energy**: -24.881 eV per atom
&SYSTEM
  ibrav = 0, nat = 6, ntyp = 3
/
ATOMIC_SPECIES
Li 6.94 Li.upf
Os 190.23 Os.upf
Au 196.97 Au.upf
ATOMIC_POSITIONS crystal
Li 0.871 0.376 0.376
Li 0.376 0.376 0.871
Li 0.376 0.376 0.376
Li 0.376 0.871 0.376
Os 0.750 0.750 0.750
Au 0.000 0.000 0.000
CELL_PARAMETERS angstrom
4.729 0.000 0.000
2.365 4.095 0.000
2.365 1.365 3.861

=====

! CsAlSe3 (meta-GGA SCAN, PBEsol geometry); values from VASP
! **Space-group type**: Pm-3m (221)
! **Energy**: -20.047 eV per atom
&SYSTEM
  ibrav = 0, nat = 5, ntyp = 3
/
ATOMIC_SPECIES
Se 78.96 Se.upf
Cs 132.91 Cs.upf
Al 26.98 Al.upf
ATOMIC_POSITIONS crystal
Se 0.500 0.000 0.000
Se 0.000 0.500 0.000
Se 0.000 0.000 0.500
Cs 0.000 0.000 0.000
Al 0.500 0.500 0.500
CELL_PARAMETERS angstrom
5.726 0.000 0.000
0.000 5.726 0.000
0.000 0.000 5.726

=====

! LiPS2I (meta-GGA SCAN, PBEsol geometry); values from VASP
! **Space-group type**: P4/mmm (123)
! **Energy**: -13.146 eV per atom
&SYSTEM
  ibrav = 0, nat = 5, ntyp = 4
/
ATOMIC_SPECIES
P 30.97 P.upf
S 32.06 S.upf
I 126.90 I.upf
Li 6.94 Li.upf
ATOMIC_POSITIONS crystal
P 0.500 0.500 0.500
S 0.500 0.000 0.000
S 0.000 0.500 0.000
I 0.000 0.000 0.500
Li 0.000 0.000 0.000
CELL_PARAMETERS angstrom
-1.513 3.005 2.364
-3.815 -1.013 -1.154
-0.425 -4.272 5.157

=====

! KAlRu2 (meta-GGA SCAN, PBEsol geometry); values from VASP
! **Formation energy from the elements**: 748 meV per atom
! **Space-group type**: Imm2 (44)
! **Energy**: -20.685 eV per atom
&SYSTEM
  ibrav = 0, nat = 4, ntyp = 3
/
ATOMIC_SPECIES
Ru 101.07 Ru.upf
Al 26.98 Al.upf
K 39.10 K.upf
ATOMIC_POSITIONS crystal
Ru 0.039 0.039 0.078
Ru 0.741 0.241 0.481
Al 0.461 0.461 0.921
K 0.260 0.760 0.520
CELL_PARAMETERS angstrom
2.767 0.000 0.000
0.000 5.024 0.000
-1.383 -2.512 5.087

=====

! CdSnAs2 (meta-GGA SCAN, PBEsol geometry); values from VASP
! **Formation energy from the elements**: -120 meV per atom
! **Space-group type**: P-4m2 (115)
! **Energy**: -26.799 eV per atom
! **Energy above the lowest structure with this stoichiometry**: 0.09 eV per formula unit
&SYSTEM
  ibrav = 0, nat = 4, ntyp = 3
/
ATOMIC_SPECIES
Cd 112.41 Cd.upf
As 74.92 As.upf
Sn 118.71 Sn.upf
ATOMIC_POSITIONS crystal
Cd 0.000 0.000 0.000
As 0.500 0.000 0.754
As 0.000 0.500 0.246
Sn 0.500 0.500 0.500
CELL_PARAMETERS angstrom
-2.562 -0.779 -3.318
-0.234 -4.101 1.144
-4.895 1.252 3.486

=====

! AgHg2 (meta-GGA SCAN, PBEsol geometry); values from VASP
! **Formation energy from the elements**: 65 meV per atom
! **Space-group type**: P4/mmm (123)
! **Energy**: -55.834 eV per atom
! **Energy above the lowest structure with this stoichiometry**: 0.05 eV per formula unit
&SYSTEM
  ibrav = 0, nat = 3, ntyp = 2
/
ATOMIC_SPECIES
Hg 200.59 Hg.upf
Ag 107.87 Ag.upf
ATOMIC_POSITIONS crystal
Hg 0.500 0.000 0.500
Hg 0.500 0.500 0.000
Ag 0.000 0.000 0.000
CELL_PARAMETERS angstrom
-2.240 -1.793 -0.427
1.890 -3.141 3.283
-2.492 2.257 3.594